1.
The following is a GGA-PBE calculation of crystalline MgRe2Se at its relaxed geometry, from Alexandria.

Summary:
Crystal system: monoclinic
D(E_F): 0.7594 states/eV/atom
Uncorrected formation energy: 0.477 eV/atom
E above lowest polymorph: 37.0 kJ/mol of atoms

Lattice parameters (Å, degrees): 4.9043 4.9043 4.9800 107.49 107.49 35.37
Last column: nearest neighbours and their distance in Å.
Fractional positions:
Mg (0.0000, 0.0000, 0.0000)  3 Se 2.67-2.75, 7 Re 2.80-2.97, 2 Mg 2.98
Re (0.5133, 0.5133, 0.4927)  2 Re 2.63, 2 Se 2.68, 2 Mg 2.84
Re (0.7745, 0.7745, 0.2612)  2 Se 2.60, 2 Re 2.63, 3 Mg 2.80-2.90
Se (0.2400, 0.2400, 0.8175)  4 Re 2.60-2.68, 3 Mg 2.67-2.75

2.
The following is a GGA-PBE calculation of crystalline Sr2GaAg at its relaxed geometry, from Alexandria.

Summary:
Crystal system: monoclinic
ΔH_f (0 K): -32 kJ/mol of atoms
D(E_F): 0.8056 states/eV/atom

Lattice parameters (Å, degrees): 6.2452 4.6896 9.1682 90.00 106.63 90.00
Last column: nearest neighbours and their distance in Å.
Fractional positions:
Sr (0.2113, 0.2500, 0.4292)  4 Ag 3.31-3.48, 3 Ga 3.33-3.46
Sr (0.2856, 0.7500, 0.0718)  3 Ag 3.32-3.47, 4 Ga 3.35-3.47
Sr (0.7144, 0.2500, 0.9282)  3 Ag 3.32-3.47, 4 Ga 3.35-3.47
Sr (0.7887, 0.7500, 0.5708)  4 Ag 3.31-3.48, 3 Ga 3.33-3.46
Ga (0.1577, 0.2500, 0.7806)  2 Ag 2.72
Ga (0.8423, 0.7500, 0.2194)  2 Ag 2.72
Ag (0.3381, 0.7500, 0.7216)  2 Ga 2.72
Ag (0.6619, 0.2500, 0.2784)  2 Ga 2.72